Run 1
Material: Cu2RuPt
Method: DFT, meta-GGA SCAN
State: PBEsol geometry

D(E_F)   0.58 states/eV/atom
Size of the total moment   1.34 μB/cell
Space group   Pmmm (47)

The structure in POSCAR format:
```
Cu2RuPt
1.0
2.6370 0.0000 0.0000
0.0000 4.4094 0.0000
0.0000 0.0000 4.5473
Cu Pt Ru
2 1 1
direct
0.0000 0.0000 0.0000 Cu
0.5000 0.0000 0.5000 Cu
0.5000 0.5000 0.0000 Pt
0.0000 0.5000 0.5000 Ru
```

=====

Run 2
Material: Cu2RuPt
Method: DFT, meta-GGA SCAN
State: PBEsol geometry

D(E_F)   0.77 states/eV/atom
Size of the total moment   0.00 μB/cell
Space group   I-4m2 (119)

The structure in POSCAR format:
```
Cu2RuPt
1.0
3.7231 0.0000 0.0000
0.0000 3.7231 0.0000
-1.8615 -1.8615 3.7136
Cu Pt Ru
2 1 1
direct
0.0000 0.0000 0.0000 Cu
0.7500 0.2500 0.5000 Cu
0.5000 0.5000 0.0000 Pt
0.2500 0.7500 0.5000 Ru
```

=====

run 2 takes first place; second place is 27 meV per atom up.

=====

Run 1
Material: SrCuPt
Method: DFT, meta-GGA SCAN
State: PBEsol geometry

D(E_F)   0.41 states/eV/atom
Size of the total moment   0.00 μB/cell
Space group   Imm2 (44)

The structure in POSCAR format:
```
SrCuPt
1.0
3.0933 0.0000 0.0000
0.0000 3.8184 0.0000
-1.5467 -1.9092 5.0373
Cu Pt Sr
1 1 1
direct
0.0454 0.0454 0.0907 Cu
0.6254 0.6254 0.2508 Pt
0.3292 0.3292 0.6584 Sr
```

=====

Run 2
Material: SrCuPt
Method: DFT, meta-GGA SCAN
State: PBEsol geometry

D(E_F)   0.31 states/eV/atom
Size of the total moment   0.00 μB/cell
Space group   P-6m2 (187)

The structure in POSCAR format:
```
SrCuPt
1.0
4.1703 0.0000 0.0000
0.0000 4.2517 0.0000
0.0000 -2.1258 3.6820
Sr Pt Cu
1 1 1
direct
0.5000 0.6667 0.3333 Sr
0.0000 0.3333 0.6667 Pt
0.0000 0.0000 0.0000 Cu
```

=====

run 2 takes first place; second place is 292 meV per atom up.

=====

Run 1
Material: Tl2CuPt
Method: DFT, meta-GGA SCAN
State: PBEsol geometry

D(E_F)   0.29 states/eV/atom
Size of the total moment   0.00 μB/cell
Space group   C2/m (12)

The structure in POSCAR format:
```
Tl2CuPt
1.0
-0.9513 3.4616 0.7638
-0.5325 -0.6505 4.4709
4.1972 1.4034 1.0536
Cu Pt Tl
1 1 2
direct
0.5000 0.5000 0.5000 Cu
0.5000 0.0000 0.0000 Pt
0.0000 0.5000 0.0000 Tl
0.0000 0.0000 0.5000 Tl
```

=====

Run 2
Material: Tl2CuPt
Method: DFT, meta-GGA SCAN
State: PBEsol geometry

D(E_F)   0.37 states/eV/atom
Size of the total moment   0.00 μB/cell
Space group   Cmmm (65)

The structure in POSCAR format:
```
Tl2CuPt
1.0
-0.8608 2.8945 -1.7480
-2.9380 1.1465 3.3454
3.3564 2.2945 2.1466
Cu Pt Tl
1 1 2
direct
0.5000 0.0000 0.0000 Cu
0.5000 0.5000 0.5000 Pt
0.0000 0.5000 0.0000 Tl
0.0000 0.0000 0.5000 Tl
```

=====

Run 3
Material: Tl2CuPt
Method: DFT, meta-GGA SCAN
State: PBEsol geometry

D(E_F)   0.26 states/eV/atom
Size of the total moment   0.00 μB/cell
Space group   Fm-3m (225)

The structure in POSCAR format:
```
Tl2CuPt
1.0
4.7061 0.0000 0.0000
2.3530 4.0756 0.0000
2.3530 1.3585 3.8425
Cu Pt Tl
1 1 2
direct
0.0000 0.0000 0.0000 Cu
0.5000 0.5000 0.5000 Pt
0.2500 0.2500 0.2500 Tl
0.7500 0.7500 0.7500 Tl
```

=====

run 3 takes first place; second place is 9 meV per atom up.

=====

Run 1
Material: CuPtW2
Method: DFT, meta-GGA SCAN
State: PBEsol geometry

D(E_F)   0.87 states/eV/atom
Size of the total moment   0.00 μB/cell
Space group   Immm (71)

The structure in POSCAR format:
```
CuPtW2
1.0
3.6298 0.0000 0.0000
0.0000 3.8125 0.0000
-1.8149 -1.9062 4.1587
Cu Pt W
1 1 2
direct
0.5000 0.0000 0.0000 Cu
0.0000 0.5000 0.0000 Pt
0.7520 0.7520 0.5041 W
0.2480 0.2480 0.4959 W
```

=====

Run 2
Material: CuPtW2
Method: DFT, meta-GGA SCAN
State: PBEsol geometry

D(E_F)   0.54 states/eV/atom
Size of the total moment   0.00 μB/cell
Space group   Pmm2 (25)

The structure in POSCAR format:
```
CuPtW2
1.0
2.6870 0.0000 0.0000
0.0000 3.8796 0.0000
0.0000 0.0000 5.5748
Cu Pt W
1 1 2
direct
0.0000 0.0000 0.5015 Cu
0.5000 0.5000 0.7367 Pt
0.0000 0.0000 0.9975 W
0.5000 0.5000 0.2643 W
```

=====

run 2 takes first place; second place is 23 meV per atom up.